1.
The following is a PBE calculation of a geometry-optimized CaOsRhO2 structure, from the Alexandria database.

Calculated values
energy relative to the elements, uncorrected	-0.16	eV per atom
DOS(E_F)	0.591	states/eV per atom
E	-6.263	eV per atom
space group	P4/mmm (123)

Lattice parameters (Å, degrees): 3.7763 3.7763 6.5221 90.00 90.00 90.00
Fractional positions:
Ca: 0.0000 0.0000 0.0000
Os: 0.0000 0.0000 0.5000
Rh: 0.5000 0.5000 0.0000
O: 0.0000 0.5000 0.5000
O: 0.5000 0.0000 0.5000

2.
The following is a PBE calculation of a geometry-optimized TlPb3C structure, from the Alexandria database.

Calculated values
polymorph energy (0 for the lowest one)	5.07	eV per formula unit
DOS(E_F)	0.517	states/eV per atom
E	-2.672	eV per atom
space group	Pm-3m (221)

Lattice parameters (Å, degrees): 5.9214 5.9214 5.9214 90.00 90.00 90.00
Fractional positions:
Tl: 0.0000 0.0000 0.0000
Pb: 0.0000 0.0000 0.5000
Pb: 0.0000 0.5000 0.0000
Pb: 0.5000 0.0000 0.0000
C: 0.5000 0.5000 0.5000

3.
The following is a PBE calculation of a geometry-optimized Cs2PuGeO6 structure, from the Alexandria database.

Calculated values
energy relative to the elements, uncorrected	-1.93	eV per atom
DOS(E_F)	0.423	states/eV per atom
E	-6.972	eV per atom
space group	I4/mmm (139)

Lattice parameters (Å, degrees): 6.8834 6.8834 6.8834 130.69 130.69 72.31
Fractional positions:
Cs: 0.2500 0.7500 0.5000
Cs: 0.7500 0.2500 0.5000
Pu: 0.0000 0.0000 0.0000
Ge: 0.5000 0.5000 0.0000
O: 0.1678 0.1678 0.0000
O: 0.2746 0.2746 0.5492
O: 0.2746 0.7254 0.0000
O: 0.7254 0.2746 0.0000
O: 0.7254 0.7254 0.4508
O: 0.8322 0.8322 0.0000

4.
The following is a PBE calculation of a geometry-optimized CaTb4Ag4 structure, from the Alexandria database.

Calculated values
DOS(E_F)	0.931	states/eV per atom
E	-3.630	eV per atom
space group	P4_2/n (86)

Lattice parameters (Å, degrees): 9.7080 9.7080 5.7479 90.00 90.00 90.00
Fractional positions:
Ca: 0.2500 0.2500 0.2500
Ca: 0.7500 0.7500 0.7500
Tb: 0.0972 0.6608 0.1545
Tb: 0.1608 0.9028 0.6545
Tb: 0.3392 0.5972 0.6545
Tb: 0.4028 0.8392 0.1545
Tb: 0.5972 0.1608 0.8455
Tb: 0.6608 0.4028 0.3455
Tb: 0.8392 0.0972 0.3455
Tb: 0.9028 0.3392 0.8455
Ag: 0.0251 0.6094 0.6536
Ag: 0.1094 0.9749 0.1536
Ag: 0.3906 0.5251 0.1536
Ag: 0.4749 0.8906 0.6536
Ag: 0.5251 0.1094 0.3464
Ag: 0.6094 0.4749 0.8464
Ag: 0.8906 0.0251 0.8464
Ag: 0.9749 0.3906 0.3464

5.
The following is a PBE calculation of a geometry-optimized CsLi2ZnGe structure, from the Alexandria database.

Calculated values
DOS(E_F)	0.391	states/eV per atom
E	-2.164	eV per atom
space group	P4/mmm (123)

Lattice parameters (Å, degrees): 5.2675 5.2675 5.0435 90.00 90.00 90.00
Fractional positions:
Cs: 0.0000 0.0000 0.0000
Li: 0.0000 0.5000 0.5000
Li: 0.5000 0.0000 0.5000
Zn: 0.5000 0.5000 0.0000
Ge: 0.5000 0.5000 0.5000

6.
The following is a PBE calculation of a geometry-optimized TbPmHgBi structure, from the Alexandria database.

Calculated values
DOS(E_F)	0.862	states/eV per atom
E	-3.928	eV per atom
space group	F-43m (216)

Lattice parameters (Å, degrees): 5.4342 5.4342 5.4342 60.00 60.00 60.00
Fractional positions:
Tb: 0.0000 0.0000 0.0000
Pm: 0.5000 0.5000 0.5000
Hg: 0.2500 0.2500 0.2500
Bi: 0.7500 0.7500 0.7500

7.
The following is a PBE calculation of a geometry-optimized KTaRh2 structure, from the Alexandria database.

Calculated values
polymorph energy (0 for the lowest one)	3.32	eV per formula unit
DOS(E_F)	1.074	states/eV per atom
E	-5.989	eV per atom
space group	F-43m (216)

Lattice parameters (Å, degrees): 4.6138 4.6138 4.6138 60.00 60.00 60.00
Fractional positions:
K: 0.0000 0.0000 0.0000
Ta: 0.7500 0.7500 0.7500
Rh: 0.2500 0.2500 0.2500
Rh: 0.5000 0.5000 0.5000

8.
The following is a PBE calculation of a geometry-optimized Si2RhAu structure, from the Alexandria database.

Calculated values
polymorph energy (0 for the lowest one)	0.52	eV per formula unit
energy relative to the elements, uncorrected	-0.15	eV per atom
DOS(E_F)	0.564	states/eV per atom
E	-5.522	eV per atom
space group	C2/m (12)

Lattice parameters (Å, degrees): 4.2870 4.2870 5.0482 99.59 99.59 41.32
Fractional positions:
Si: 0.2399 0.2399 0.2165
Si: 0.7601 0.7601 0.7835
Rh: 0.5000 0.5000 0.0000
Au: 0.0000 0.0000 0.5000

9.
The following is a PBE calculation of a geometry-optimized AgBi2Pd2 structure, from the Alexandria database.

Calculated values
polymorph energy (0 for the lowest one)	0.82	eV per formula unit
DOS(E_F)	0.500	states/eV per atom
E	-4.214	eV per atom
space group	I4/mmm (139)

Lattice parameters (Å, degrees): 8.2445 8.2445 8.2445 152.89 152.89 38.71
Fractional positions:
Ag: 0.0000 0.0000 0.0000
Bi: 0.3851 0.3851 0.0000
Bi: 0.6149 0.6149 0.0000
Pd: 0.2500 0.7500 0.5000
Pd: 0.7500 0.2500 0.5000

10.
The following is a PBE calculation of a geometry-optimized DyPu2PaSb4 structure, from the Alexandria database.

Calculated values
energy relative to the elements, uncorrected	-0.71	eV per atom
DOS(E_F)	3.940	states/eV per atom
E	-8.116	eV per atom
space group	P2/m (10)

Lattice parameters (Å, degrees): 7.6154 4.4107 7.6235 90.00 109.60 90.00
Fractional positions:
Dy: 0.0000 0.0000 0.0000
Pu: 0.5000 0.0000 0.5000
Pu: 0.5000 0.5000 0.0000
Pa: 0.0000 0.5000 0.5000
Sb: 0.2445 0.0000 0.7478
Sb: 0.2456 0.5000 0.2511
Sb: 0.7544 0.5000 0.7489
Sb: 0.7555 0.0000 0.2522

11.
The following is a PBE calculation of a geometry-optimized Cs2PBr structure, from the Alexandria database.

Calculated values
polymorph energy (0 for the lowest one)	0.00	eV per formula unit
energy relative to the elements, uncorrected	-0.52	eV per atom
DOS(E_F)	2.580	states/eV per atom
E	-2.715	eV per atom
space group	Fm-3m (225)

Lattice parameters (Å, degrees): 6.2295 6.2295 6.2295 60.00 60.00 60.00
Fractional positions:
Cs: 0.2500 0.2500 0.2500
Cs: 0.7500 0.7500 0.7500
P: 0.0000 0.0000 0.0000
Br: 0.5000 0.5000 0.5000

12.
The following is a PBE calculation of a geometry-optimized Ac2Pr2Rh structure, from the Alexandria database.

Calculated values
DOS(E_F)	1.057	states/eV per atom
E	-5.211	eV per atom
space group	I4_1/amd (141)

Lattice parameters (Å, degrees): 13.5289 13.5289 13.5289 157.82 157.82 31.57
Fractional positions:
Ac: 0.0593 0.3093 0.7500
Ac: 0.3093 0.0593 0.2500
Ac: 0.6907 0.9407 0.7500
Ac: 0.9407 0.6907 0.2500
Pr: 0.1949 0.4449 0.7500
Pr: 0.4449 0.1949 0.2500
Pr: 0.5551 0.8051 0.7500
Pr: 0.8051 0.5551 0.2500
Rh: 0.1250 0.8750 0.2500
Rh: 0.8750 0.1250 0.7500